# Ho8Sc3 | Alexandria | GGA-PBE | optimized geometry
data_Ho8Sc3
_symmetry_space_group_name_H-M 'R -3 m'
_symmetry_Int_Tables_number 166
_symmetry_space_group_name_Hall '-R 3 2"'
_cell_length_a 3.4658
_cell_length_b 3.4658
_cell_length_c 92.2310
_cell_angle_alpha 90.00
_cell_angle_beta 90.00
_cell_angle_gamma 120.00
loop_
_atom_site_label
_atom_site_fract_x
_atom_site_fract_y
_atom_site_fract_z
Ho1 0.0000 0.0000 0.0469
Ho2 0.0000 0.0000 0.1372
Ho3 0.0000 0.0000 0.3177
Ho4 0.0000 0.0000 0.4118
Sc1 0.0000 0.0000 0.2256
Sc2 0.0000 0.0000 0.5000
# - energy above the most stable polymorph in this dataset (meV per atom) = 0

***

# PrNdPt2 | Alexandria | GGA-PBE | optimized geometry
data_PrNdPt2
_symmetry_space_group_name_H-M 'F m -3 m'
_symmetry_Int_Tables_number 225
_symmetry_space_group_name_Hall '-F 4 2 3'
_cell_length_a 7.250
_cell_length_b 7.250
_cell_length_c 7.250
_cell_angle_alpha 90.00
_cell_angle_beta 90.00
_cell_angle_gamma 90.00
loop_
_atom_site_label
_atom_site_fract_x
_atom_site_fract_y
_atom_site_fract_z
Pr1 0.000 0.000 0.000
Nd1 0.000 0.000 0.500
Pt1 0.250 0.250 0.250
# - energy above the most stable polymorph in this dataset (meV per atom) = 114

***

Computed, not measured: a geometry-optimized TiNb4B2 structure at the GGA-PBE level of DFT.

```
data_TiNb4B2
_symmetry_space_group_name_H-M 'R -3 m'
_symmetry_Int_Tables_number 166
_symmetry_space_group_name_Hall '-R 3 2"'
_cell_length_a 4.1639
_cell_length_b 4.1639
_cell_length_c 21.4095
_cell_angle_alpha 90.00
_cell_angle_beta 90.00
_cell_angle_gamma 120.00
loop_
_atom_site_label
_atom_site_fract_x
_atom_site_fract_y
_atom_site_fract_z
Ti1 0.0000 0.0000 0.0000
Nb1 0.0000 0.0000 0.2114
Nb2 0.0000 0.0000 0.3916
B1 0.0000 0.0000 0.1040
```

***

Computed, not measured: a geometry-optimized CaZn2Hg structure at the GGA-PBE level of DFT.

```
data_CaZn2Hg
_symmetry_space_group_name_H-M 'I -4 2 d'
_symmetry_Int_Tables_number 122
_symmetry_space_group_name_Hall 'I -4 2bw'
_cell_length_a 4.603
_cell_length_b 4.603
_cell_length_c 19.301
_cell_angle_alpha 90.00
_cell_angle_beta 90.00
_cell_angle_gamma 90.00
loop_
_atom_site_label
_atom_site_fract_x
_atom_site_fract_y
_atom_site_fract_z
Ca1 0.000 0.000 0.000
Zn1 0.124 0.250 0.625
Hg1 0.000 0.000 0.500
```

***

Computed, not measured: a geometry-optimized Ga2Ge2Au5 structure at the GGA-PBE level of DFT.

```
data_Ga2Ge2Au5
_symmetry_space_group_name_H-M 'C 1 2/m 1'
_symmetry_Int_Tables_number 12
_symmetry_space_group_name_Hall '-C 2y'
_cell_length_a 12.837
_cell_length_b 4.173
_cell_length_c 8.444
_cell_angle_alpha 90.00
_cell_angle_beta 123.99
_cell_angle_gamma 90.00
loop_
_atom_site_label
_atom_site_fract_x
_atom_site_fract_y
_atom_site_fract_z
Ga1 0.152 0.000 0.020
Ge1 0.154 0.500 0.523
Au1 0.000 0.500 0.000
Au2 0.098 0.000 0.304
Au3 0.105 0.500 0.779
```

***

Computed, not measured: a geometry-optimized Zn12Ga6Pd structure at the GGA-PBE level of DFT.

```
data_Zn12Ga6Pd
_symmetry_space_group_name_H-M 'R -3'
_symmetry_Int_Tables_number 148
_symmetry_space_group_name_Hall '-R 3'
_cell_length_a 9.9213
_cell_length_b 9.9213
_cell_length_c 11.0406
_cell_angle_alpha 90.00
_cell_angle_beta 90.00
_cell_angle_gamma 120.00
loop_
_atom_site_label
_atom_site_fract_x
_atom_site_fract_y
_atom_site_fract_z
Zn1 0.0572 0.8751 0.3050
Zn2 0.0637 0.2080 0.9102
Ga1 0.0246 0.5946 0.2100
Pd1 0.0000 0.0000 0.5000
```

***

Computed, not measured: a geometry-optimized ZnAg2Os structure at the GGA-PBE level of DFT.

```
data_ZnAg2Os
_symmetry_space_group_name_H-M 'P m m m'
_symmetry_Int_Tables_number 47
_symmetry_space_group_name_Hall '-P 2 2'
_cell_length_a 2.778
_cell_length_b 4.713
_cell_length_c 4.880
_cell_angle_alpha 90.00
_cell_angle_beta 90.00
_cell_angle_gamma 90.00
loop_
_atom_site_label
_atom_site_fract_x
_atom_site_fract_y
_atom_site_fract_z
Zn1 0.000 0.000 0.000
Ag1 0.000 0.500 0.500
Ag2 0.500 0.000 0.500
Os1 0.500 0.500 0.000
```

***

| no. | calculated formation energy (eV per atom) |
| --- | --- |
| 1 | 0.04 |
| 2 | -1.02 |
| 3 | -0.02 |
| 4 | -0.06 |
| 5 | -0.06 |
| 6 | 0.00 |
| 7 | 0.44 |